1.
First-principles (PBEsol) data for a relaxed NiHgOs2Ru crystal, as listed in the Alexandria database.

Geometry as POSCAR:
```
NiHgOs2Ru
1.0
4.3619 0.0000 0.0000
0.0000 4.3619 0.0000
0.0000 0.0000 4.5558
Ni Hg Os Ru
1 1 2 1
Cartesian
0.0000 0.0000 0.0000
0.0000 0.0000 2.2779
0.0000 2.1809 0.0000
2.1809 0.0000 0.0000
2.1809 2.1809 2.2779
```

Calculated values
- SG: No. 123
- Calculated volume: 17.3 Å³ per atom
- E_form: 10.22 eV/f.u.
- Final energy: -31.1 eV per formula unit

***

2.
First-principles (PBEsol) data for a relaxed ScGe crystal, as listed in the Alexandria database.

Geometry as POSCAR:
```
ScGe
1.0
1.9853 -4.9999 0.0000
1.9853 4.9999 0.0000
0.0000 0.0000 3.7377
Sc Ge
2 2
Cartesian
1.9853 3.6335 2.8033
1.9853 -3.6335 0.9344
1.9853 0.8968 2.8033
1.9853 -0.8968 0.9344
```

Calculated values
- SG: No. 63
- Calculated volume: 18.6 Å³ per atom
- E_form: -1.81 eV/f.u.
- Final energy: -13.3 eV per formula unit

***

3.
First-principles (PBEsol) data for a relaxed Mg3P crystal, as listed in the Alexandria database.

Geometry as POSCAR:
```
Mg3P
1.0
1.9520 1.1270 7.0316
-1.9520 1.1270 7.0316
0.0000 -2.2540 7.0316
Mg P
3 1
Cartesian
0.0000 0.0000 0.0000
0.0000 0.0000 4.7151
0.0000 0.0000 16.3795
0.0000 0.0000 10.5473
```

Calculated values
- SG: No. 166
- Calculated volume: 23.2 Å³ per atom
- E_form: -0.62 eV/f.u.
- Final energy: -11.6 eV per formula unit

***

4.
First-principles (PBEsol) data for a relaxed LaMoI4O15 crystal, as listed in the Alexandria database.

Geometry as POSCAR:
```
LaMoI4O15
1.0
6.6775 0.0000 0.0000
0.0000 14.3517 0.0000
-3.0743 0.0000 6.4646
La Mo I O
2 2 8 30
Cartesian
-0.7070 0.0000 2.8134
4.3103 7.1758 3.6513
1.9509 9.6826 1.3121
1.6523 2.5067 5.1525
-1.8838 1.7517 6.2726
1.0004 5.5229 0.9403
-0.5465 10.7829 4.4595
2.4145 12.9876 1.4623
1.1888 5.8117 5.0023
4.1497 3.6071 2.0051
2.6029 12.6987 5.5244
5.4871 8.9276 0.1920
-2.6908 5.6952 5.7059
-1.5929 9.4467 3.8462
-1.4123 12.2070 3.7486
-1.7370 0.3666 5.0830
0.9274 8.5360 0.1962
-1.3857 11.0267 6.1137
0.5394 10.2989 2.1195
1.0599 3.6786 1.1157
1.2002 0.8362 1.3758
-0.1611 6.7878 4.3334
0.5098 4.0885 4.6293
1.3986 12.9959 2.9992
0.9326 1.4006 4.0519
-0.0305 2.0864 6.4540
2.7866 5.7724 0.6887
0.8167 12.9482 5.7759
3.6338 9.2623 0.0107
2.6707 8.5765 2.4127
2.2047 5.8200 3.4655
3.0934 11.2644 1.8353
3.7643 13.9636 2.1312
2.4031 8.0121 5.0888
2.5433 10.8545 5.3489
3.0639 3.1230 4.3451
4.9890 3.8508 0.3510
2.6759 1.3601 6.2684
5.3402 7.5424 1.3816
5.0155 5.0312 2.7161
5.1961 2.2709 2.6185
6.2941 12.8711 0.7588
```

Calculated values
- SG: No. 4
- Calculated volume: 14.8 Å³ per atom
- Final energy: -124.1 eV per formula unit
- E_form (uncorrected): -1010 meV/atom